DFT (PBE-GGA) results for a relaxed structure of Ni2TeBr.

* magnetic moment: 0.000 μB per atom
* calculated density: 7.2 g cm⁻³
* energy relative to the elements, uncorrected: 30.9 kJ per mole of atoms
* DOS at the Fermi energy: 4.2 states/eV/cell
* excess energy over the best structure of this formula in the dataset: 408 meV/atom
* space-group type: P4/mmm

```
Ni2TeBr
1.0
3.3734 0.0000 0.0000
0.0000 3.3734 0.0000
0.0000 0.0000 6.5976
Ni Te Br
2 1 1
Direct
0.0000 0.0000 0.1921
0.0000 0.0000 0.8079
0.5000 0.5000 0.0000
0.5000 0.5000 0.5000
```